An optimized crystal structure of K2HgOs. Source: Alexandria, functional PBE.

Properties
Space group ... No. 122
Energy relative to the elements ... 1202 meV/atom

Cell and atoms, written as POSCAR:
```
K2HgOs
1.0
-0.5457 3.1166 -2.6551
-3.3098 -1.9124 -1.5646
-8.6467 5.9578 5.5576
K Os Hg
4 2 2
Direct
0.6227 0.1250 0.2500
0.1273 0.6250 0.2500
0.3750 0.3773 0.7500
0.8750 0.8727 0.7500
0.5000 0.5000 0.0000
0.2500 0.7500 0.5000
0.0000 0.0000 0.0000
0.7500 0.2500 0.5000
```